Entry one
Compound: RbVSbTe2
Source: Alexandria via LeMat-Bulk
Functional: PBE
Structure: optimized geometry

Summary:
Fermi-level density of states (states/eV/atom): 0.9327
SG: P4/mmm, No. 123

Structure (POSCAR):
```
RbVSbTe2
1.0
-4.8178 -1.0313 2.2386
2.4014 -3.0708 3.7535
0.5416 4.2305 3.1145
Rb Te V Sb
1 2 1 1
Cartesian
-0.9374 0.0642 4.5533
-2.4089 -0.5156 1.1193
1.2007 -1.5354 1.8768
0.0000 0.0000 0.0000
0.2708 2.1152 1.5573
```



Entry two
Compound: RbVSbTe2
Source: Alexandria via LeMat-Bulk
Functional: PBE
Structure: optimized geometry

Summary:
Fermi-level density of states (states/eV/atom): 2.2410
SG: P4/mmm, No. 123

Structure (POSCAR):
```
RbVSbTe2
1.0
-5.2709 -2.6490 -1.6533
2.1513 -0.7296 -5.6897
2.1582 -5.2215 1.4856
Sb Te Rb V
1 2 1 1
Cartesian
1.0791 -2.6107 0.7428
1.0757 -0.3648 -2.8449
-2.6355 -1.3245 -0.8266
0.0000 0.0000 0.0000
-0.4807 -4.3000 -2.9287
```



Bottom line: entry one, by a margin of 1.966 eV/atom.



Entry one
Compound: RbSbTe2W
Source: Alexandria via LeMat-Bulk
Functional: PBE
Structure: optimized geometry

Summary:
Fermi-level density of states (states/eV/atom): 0.7198
SG: P4/mmm, No. 123

Structure (POSCAR):
```
RbSbTe2W
1.0
5.5176 0.0000 0.0000
0.0000 5.5176 0.0000
0.0000 0.0000 5.3145
Te Rb W Sb
2 1 1 1
Cartesian
2.7588 0.0000 0.0000
0.0000 2.7588 0.0000
2.7588 2.7588 2.6573
0.0000 0.0000 0.0000
0.0000 0.0000 2.6573
```



Entry two
Compound: RbSbTe2W
Source: Alexandria via LeMat-Bulk
Functional: PBE
Structure: optimized geometry

Summary:
Fermi-level density of states (states/eV/atom): 2.4882
SG: P4/mmm, No. 123

Structure (POSCAR):
```
RbSbTe2W
1.0
-4.1177 0.0477 4.2072
-3.3779 -3.5473 -3.2658
2.4277 -4.5468 2.4277
Te Sb W Rb
2 1 1 1
Cartesian
-1.6889 -1.7736 -1.6329
-2.0589 0.0239 2.1036
1.2139 -2.2734 1.2138
-2.5339 -4.0232 1.6845
0.0000 0.0000 0.0000
```



Bottom line: entry one, by a margin of 2.424 eV/atom.



Entry one
Compound: RbYSbTe2
Source: Alexandria via LeMat-Bulk
Functional: PBE
Structure: optimized geometry

Summary:
Fermi-level density of states (states/eV/atom): 1.0486
SG: P4/mmm, No. 123

Structure (POSCAR):
```
RbYSbTe2
1.0
5.9633 0.0000 0.0000
0.0000 5.9633 0.0000
0.0000 0.0000 5.9108
Rb Te Sb Y
1 2 1 1
Cartesian
2.9817 2.9817 2.9554
0.0000 2.9817 0.0000
2.9817 0.0000 0.0000
0.0000 0.0000 2.9554
0.0000 0.0000 0.0000
```



Entry two
Compound: RbYSbTe2
Source: Alexandria via LeMat-Bulk
Functional: PBE
Structure: optimized geometry

Summary:
Fermi-level density of states (states/eV/atom): 1.1712
SG: P4/mmm, No. 123

Structure (POSCAR):
```
RbYSbTe2
1.0
-4.3299 4.2763 0.2015
-2.6434 -2.8654 4.0059
3.1679 3.0077 4.2419
Sb Y Rb Te
1 1 1 2
Cartesian
-1.9027 2.2093 4.2246
-1.3217 -1.4327 2.0029
0.0000 0.0000 0.0000
-2.1650 2.1381 0.1008
1.5839 1.5039 2.1209
```



Entry three
Compound: RbYSbTe2
Source: Alexandria via LeMat-Bulk
Functional: PBE
Structure: optimized geometry

Summary:
Fermi-level density of states (states/eV/atom): 0.9020
SG: P4/mmm, No. 123

Structure (POSCAR):
```
RbYSbTe2
1.0
5.9952 0.0000 0.0000
0.0000 5.9952 0.0000
0.0000 0.0000 5.7098
Sb Te Rb Y
1 2 1 1
Cartesian
0.0000 0.0000 2.8549
0.0000 2.9976 0.0000
2.9976 0.0000 0.0000
0.0000 0.0000 0.0000
2.9976 2.9976 2.8549
```



Bottom line: entry one, by a margin of 1.313 eV/atom.



Entry one
Compound: RbYSb2Te
Source: Alexandria via LeMat-Bulk
Functional: PBE
Structure: optimized geometry

Summary:
Fermi-level density of states (states/eV/atom): 1.1101
SG: P4/mmm, No. 123

Structure (POSCAR):
```
RbYSb2Te
1.0
5.8847 0.0000 0.0000
0.0000 5.8847 0.0000
0.0000 0.0000 5.9780
Rb Te Y Sb
1 1 1 2
Cartesian
2.9423 2.9423 2.9890
0.0000 0.0000 2.9890
0.0000 0.0000 0.0000
2.9423 0.0000 0.0000
0.0000 2.9423 0.0000
```



Entry two
Compound: RbYSb2Te
Source: Alexandria via LeMat-Bulk
Functional: PBE
Structure: optimized geometry

Summary:
Fermi-level density of states (states/eV/atom): 1.1819
SG: P4/mmm, No. 123

Structure (POSCAR):
```
RbYSb2Te
1.0
-3.3664 -2.7896 3.7606
4.4112 -0.3361 3.6994
-1.6225 5.2034 2.4074
Te Y Rb Sb
1 1 1 2
Cartesian
-0.8113 2.6017 1.2037
-0.2889 1.0389 4.9337
0.0000 0.0000 0.0000
-1.6832 -1.3948 1.8803
2.2056 -0.1680 1.8497
```



Bottom line: entry one, by a margin of 1.249 eV/atom.



Entry one
Compound: RbZnSbTe2
Source: Alexandria via LeMat-Bulk
Functional: PBE
Structure: optimized geometry

Summary:
Fermi-level density of states (states/eV/atom): 1.3671
SG: P4/mmm, No. 123

Structure (POSCAR):
```
RbZnSbTe2
1.0
6.3950 0.0000 0.0000
0.0000 6.3108 0.0000
0.0000 0.0000 6.3950
Te Rb Sb Zn
2 1 1 1
Cartesian
3.1975 0.0000 0.0000
0.0000 0.0000 3.1975
0.0000 0.0000 0.0000
0.0000 3.1554 0.0000
3.1975 3.1554 3.1975
```



Entry two
Compound: RbZnSbTe2
Source: Alexandria via LeMat-Bulk
Functional: PBE
Structure: optimized geometry

Summary:
Fermi-level density of states (states/eV/atom): 0.6106
SG: P4/mmm, No. 123

Structure (POSCAR):
```
RbZnSbTe2
1.0
5.6822 0.0000 0.0000
0.0000 5.6822 0.0000
0.0000 0.0000 5.2105
Rb Zn Te Sb
1 1 2 1
Cartesian
2.8411 2.8411 2.6052
0.0000 0.0000 0.0000
2.8411 0.0000 0.0000
0.0000 2.8411 0.0000
0.0000 0.0000 2.6052
```



Bottom line: entry two, by a margin of 1.195 eV/atom.



Entry one
Compound: RbZrSb2Te
Source: Alexandria via LeMat-Bulk
Functional: PBE
Structure: optimized geometry

Summary:
Fermi-level density of states (states/eV/atom): 1.7596
SG: P4/mmm, No. 123

Structure (POSCAR):
```
RbZrSb2Te
1.0
5.7423 0.0000 0.0000
0.0000 5.7423 0.0000
0.0000 0.0000 5.9166
Sb Rb Te Zr
2 1 1 1
Cartesian
2.8712 0.0000 0.0000
0.0000 2.8712 0.0000
0.0000 0.0000 0.0000
0.0000 0.0000 2.9583
2.8712 2.8712 2.9583
```



Entry two
Compound: RbZrSb2Te
Source: Alexandria via LeMat-Bulk
Functional: PBE
Structure: optimized geometry

Summary:
Fermi-level density of states (states/eV/atom): 0.9419
SG: P4/mmm, No. 123

Structure (POSCAR):
```
RbZrSb2Te
1.0
5.6469 0.0000 0.0000
0.0000 5.6469 0.0000
0.0000 0.0000 5.7481
Sb Zr Te Rb
2 1 1 1
Cartesian
2.8235 0.0000 0.0000
0.0000 2.8235 0.0000
0.0000 0.0000 0.0000
0.0000 0.0000 2.8741
2.8235 2.8235 2.8741
```



Bottom line: entry two, by a margin of 1.840 eV/atom.



Entry one
Compound: RbZrSbTe2
Source: Alexandria via LeMat-Bulk
Functional: PBE
Structure: optimized geometry

Summary:
Fermi-level density of states (states/eV/atom): 1.6556
SG: P4/mmm, No. 123

Structure (POSCAR):
```
RbZrSbTe2
1.0
5.9355 0.0000 0.0000
0.0000 5.9355 0.0000
0.0000 0.0000 5.7034
Sb Zr Rb Te
1 1 1 2
Cartesian
0.0000 0.0000 2.8517
2.9678 2.9678 2.8517
0.0000 0.0000 0.0000
2.9678 0.0000 0.0000
0.0000 2.9678 0.0000
```



Entry two
Compound: RbZrSbTe2
Source: Alexandria via LeMat-Bulk
Functional: PBE
Structure: optimized geometry

Summary:
Fermi-level density of states (states/eV/atom): 1.0489
SG: P4/mmm, No. 123

Structure (POSCAR):
```
RbZrSbTe2
1.0
-3.3444 4.4200 1.4449
-4.4397 -3.5643 0.6271
1.3647 -0.7438 5.4343
Sb Te Zr Rb
1 2 1 1
Cartesian
0.6824 -0.3719 2.7171
-2.2199 -1.7822 0.3135
-1.6722 2.2100 0.7224
0.0000 0.0000 0.0000
-3.2097 0.0559 3.7531
```



Entry three
Compound: RbZrSbTe2
Source: Alexandria via LeMat-Bulk
Functional: PBE
Structure: optimized geometry

Summary:
Fermi-level density of states (states/eV/atom): 0.8930
SG: P4/mmm, No. 123

Structure (POSCAR):
```
RbZrSbTe2
1.0
-4.0500 -0.6505 -3.7329
1.4724 -7.6130 -0.2709
-3.6400 -0.8498 4.0974
Rb Zr Sb Te
1 1 1 2
Cartesian
0.7362 -3.8065 -0.1355
0.0000 0.0000 0.0000
-3.1088 -4.5567 0.0468
-2.0250 -0.3252 -1.8664
-1.8200 -0.4249 2.0487
```



Bottom line: entry two, by a margin of 0.748 eV/atom.



Entry one
Compound: RbThSb2
Source: Alexandria via LeMat-Bulk
Functional: PBE
Structure: optimized geometry

Summary:
Fermi-level density of states (states/eV/atom): 0.9891
SG: P4/mmm, No. 123

Structure (POSCAR):
```
RbThSb2
1.0
4.1833 0.0000 0.0000
0.0000 4.1833 0.0000
0.0000 0.0000 8.1701
Sb Rb Th
2 1 1
Cartesian
0.0000 0.0000 6.6432
0.0000 0.0000 1.5270
2.0917 2.0917 4.0851
2.0917 2.0917 0.0000
```



Entry two
Compound: RbThSb2
Source: Alexandria via LeMat-Bulk
Functional: PBE
Structure: optimized geometry

Summary:
Fermi-level density of states (states/eV/atom): 1.3224
SG: R-3m, No. 166

Structure (POSCAR):
```
RbThSb2
1.0
-3.4085 -2.8689 -1.4766
0.3458 -2.0959 -4.1852
2.9838 -8.2947 1.7687
Sb Th Rb
2 1 1
Cartesian
0.1635 -10.3137 -2.7167
-0.2424 -2.9457 -1.1766
0.0000 0.0000 0.0000
-0.0394 -6.6297 -1.9466
```



Bottom line: entry one, by a margin of 0.025 eV/atom.



Entry one
Compound: RbTi2Sb2
Source: Alexandria via LeMat-Bulk
Functional: PBE
Structure: optimized geometry

Summary:
Fermi-level density of states (states/eV/atom): 1.0332
SG: I4/mmm, No. 139

Structure (POSCAR):
```
RbTi2Sb2
1.0
-4.0042 -1.7482 1.0897
1.2594 -0.1924 4.3190
-4.1127 5.9979 3.8138
Sb Ti Rb
2 2 1
Cartesian
-4.6887 3.0024 6.1958
-2.1688 1.0548 3.0268
-2.1129 2.4176 5.4186
-4.7447 1.6397 3.8039
0.0000 0.0000 0.0000
```



Entry two
Compound: RbTi2Sb2
Source: Alexandria via LeMat-Bulk
Functional: PBE
Structure: optimized geometry

Summary:
Fermi-level density of states (states/eV/atom): 0.3914
SG: I4/mmm, No. 139

Structure (POSCAR):
```
RbTi2Sb2
1.0
-2.9036 0.9404 4.3926
-4.4659 -0.0397 -2.9436
-4.1377 -4.4672 1.4779
Sb Ti Rb
2 2 1
Cartesian
-6.1442 -2.0283 -0.3706
-5.3630 -1.5382 3.2975
-3.8139 -0.9523 0.9394
-7.6933 -2.6142 1.9875
0.0000 0.0000 0.0000
```



Bottom line: entry one, by a margin of 0.395 eV/atom.



Entry one
Compound: RbTiSb2
Source: Alexandria via LeMat-Bulk
Functional: PBE
Structure: optimized geometry

Summary:
Fermi-level density of states (states/eV/atom): 0.4479
SG: R-3m, No. 166

Structure (POSCAR):
```
RbTiSb2
1.0
-0.0714 3.2416 -2.7128
1.9983 -0.3064 -3.7128
-6.2501 -2.0675 -5.6001
Sb Ti Rb
2 1 1
Cartesian
-0.5218 0.4640 -2.7259
-3.8015 0.4037 -9.2998
0.0000 0.0000 0.0000
-2.1616 0.4338 -6.0129
```



Entry two
Compound: RbTiSb2
Source: Alexandria via LeMat-Bulk
Functional: PBE
Structure: optimized geometry

Summary:
Fermi-level density of states (states/eV/atom): 0.6805
SG: Fm-3m, No. 225

Structure (POSCAR):
```
RbTiSb2
1.0
0.0000 3.7857 3.7857
3.7857 0.0000 3.7857
3.7857 3.7857 0.0000
Sb Rb Ti
2 1 1
Cartesian
5.6786 5.6786 5.6786
1.8929 1.8929 1.8929
3.7857 3.7857 3.7857
0.0000 0.0000 0.0000
```



Entry three
Compound: RbTiSb2
Source: Alexandria via LeMat-Bulk
Functional: PBE
Structure: optimized geometry

Summary:
Fermi-level density of states (states/eV/atom): 0.5162
SG: R3m, No. 160

Structure (POSCAR):
```
RbTiSb2
1.0
4.2094 0.0000 0.0000
2.1047 3.6455 0.0000
2.1047 1.2152 8.4002
Sb Rb Ti
2 1 1
Cartesian
2.1047 1.2152 6.9725
2.1047 1.2152 1.4107
4.2094 2.4303 4.2389
6.3141 3.6455 8.3783
```



Bottom line: entry one, by a margin of 0.008 eV/atom.



Entry one
Compound: RbTiSb2
Source: Alexandria via LeMat-Bulk
Functional: PBE
Structure: optimized geometry

Summary:
Fermi-level density of states (states/eV/atom): 0.4693
SG: I4_1/amd, No. 141

Structure (POSCAR):
```
RbTiSb2
1.0
-4.5189 -1.5341 -4.6045
2.2429 -6.2394 -0.1224
-6.3955 -5.8910 3.4640
Sb Ti Rb
4 2 2
Cartesian
-1.8917 -5.9477 -0.9372
-5.0894 -8.8932 0.7948
-3.0131 -2.8280 -0.8760
-7.3489 -9.6602 -1.5074
-1.1380 -3.8867 -2.3635
-2.6453 -8.0086 0.4891
0.0000 0.0000 0.0000
-6.0262 -5.6559 -1.7520
```



Entry two
Compound: RbTiSb2
Source: Alexandria via LeMat-Bulk
Functional: PBE
Structure: optimized geometry

Summary:
Fermi-level density of states (states/eV/atom): 0.7988
SG: P4/mmm, No. 123

Structure (POSCAR):
```
RbTiSb2
1.0
-0.6912 -2.0197 2.8013
-2.2165 -1.9314 -1.9394
6.7697 -5.4792 -2.2801
Sb Ti Rb
2 1 1
Cartesian
1.2351 -0.9997 -0.4160
5.5345 -4.4795 -1.8641
-1.4538 -1.9756 0.4310
1.9310 -4.7152 -0.7091
```



Bottom line: entry two, by a margin of 0.098 eV/atom.



Entry one
Compound: RbTiSb3
Source: Alexandria via LeMat-Bulk
Functional: PBE
Structure: optimized geometry

Summary:
Fermi-level density of states (states/eV/atom): 2.6157
SG: Pm-3m, No. 221

Structure (POSCAR):
```
RbTiSb3
1.0
5.7900 0.0000 0.0000
0.0000 5.7900 0.0000
0.0000 0.0000 5.7900
Sb Ti Rb
3 1 1
Cartesian
0.0000 2.8950 0.0000
0.0000 0.0000 2.8950
2.8950 0.0000 0.0000
2.8950 2.8950 2.8950
0.0000 0.0000 0.0000
```



Entry two
Compound: RbTiSb3
Source: Alexandria via LeMat-Bulk
Functional: PBE
Structure: optimized geometry

Summary:
Fermi-level density of states (states/eV/atom): 0.8347
SG: Pm-3m, No. 221

Structure (POSCAR):
```
RbTiSb3
1.0
5.3987 0.0000 0.0000
0.0000 5.3987 0.0000
0.0000 0.0000 5.3987
Ti Sb Rb
1 3 1
Cartesian
0.0000 0.0000 0.0000
0.0000 0.0000 2.6994
2.6994 0.0000 0.0000
0.0000 2.6994 0.0000
2.6994 2.6994 2.6994
```



Bottom line: entry two, by a margin of 1.976 eV/atom.